#P
Density functional theory data (GGA-PBE) for a relaxed Sc2GaSb crystal.

Unit cell a=7.604 b=7.604 c=6.255 alpha=52.56 beta=52.56 gamma=90.00
Element x y z (fractional)
Sc  0.612  0.125  0.250
Sc  0.138  0.625  0.250
Sc  0.375  0.388  0.750
Sc  0.875  0.862  0.750
Sb  0.000  0.000  0.000
Sb  0.750  0.250  0.500
Ga  0.500  0.500  0.000
Ga  0.250  0.750  0.500

Values from the calculation:
The density of states at the Fermi level comes out at 2.41 states/eV/f.u. As for the space group: I-42d, No. 122.

#Q
Density functional theory data (GGA-PBE) for a relaxed Sc2GaSb crystal.

Unit cell a=4.110 b=4.528 c=4.528 alpha=90.00 beta=90.00 gamma=90.00
Element x y z (fractional)
Sc  0.000  0.000  0.500
Sc  0.000  0.500  0.000
Sb  0.500  0.500  0.500
Ga  0.500  0.000  0.000

Values from the calculation:
The density of states at the Fermi level comes out at 3.61 states/eV/f.u. As for the space group: P4/mmm, No. 123.

#R
Density functional theory data (GGA-PBE) for a relaxed Sc2GaSb crystal.

Unit cell a=4.037 b=4.148 c=11.148 alpha=100.72 beta=90.00 gamma=90.00
Element x y z (fractional)
Sc  0.750  0.675  0.349
Sc  0.250  0.325  0.651
Sc  0.750  0.941  0.881
Sc  0.250  0.059  0.119
Ga  0.250  0.462  0.923
Ga  0.750  0.538  0.077
Sb  0.250  0.190  0.380
Sb  0.750  0.810  0.620

Values from the calculation:
The density of states at the Fermi level comes out at 2.07 states/eV/f.u. As for the space group: Cmcm, No. 63.

#S
Density functional theory data (GGA-PBE) for a relaxed Sc2GaSb crystal.

Unit cell a=4.963 b=4.963 c=4.963 alpha=60.00 beta=60.00 gamma=60.00
Element x y z (fractional)
Sc  0.250  0.250  0.250
Sc  0.750  0.750  0.750
Sb  0.500  0.500  0.500
Ga  0.000  0.000  0.000

Values from the calculation:
The density of states at the Fermi level comes out at 4.80 states/eV/f.u. As for the space group: Fm-3m, No. 225.

Most stable of them? #R.

#P
Density functional theory data (GGA-PBE) for a relaxed Sc2Ga2Sb crystal.

Unit cell a=7.985 b=7.985 c=3.458 alpha=90.00 beta=90.00 gamma=90.00
Element x y z (fractional)
Sc  0.314  0.814  0.000
Sc  0.814  0.686  0.000
Sc  0.686  0.186  0.000
Sc  0.186  0.314  0.000
Sb  0.000  0.000  0.000
Sb  0.500  0.500  0.000
Ga  0.113  0.613  0.500
Ga  0.613  0.887  0.500
Ga  0.887  0.387  0.500
Ga  0.387  0.113  0.500

Values from the calculation:
The density of states at the Fermi level comes out at 3.42 states/eV/f.u. As for the space group: P4/mbm, No. 127.

#Q
Density functional theory data (GGA-PBE) for a relaxed Sc2Ga2Sb crystal.

Unit cell a=7.176 b=7.176 c=4.030 alpha=90.00 beta=90.00 gamma=90.00
Element x y z (fractional)
Sc  0.174  0.674  0.500
Sc  0.674  0.826  0.500
Sc  0.826  0.326  0.500
Sc  0.326  0.174  0.500
Sb  0.000  0.000  0.000
Sb  0.500  0.500  0.000
Ga  0.377  0.877  0.000
Ga  0.877  0.623  0.000
Ga  0.623  0.123  0.000
Ga  0.123  0.377  0.000

Values from the calculation:
The density of states at the Fermi level comes out at 4.19 states/eV/f.u. As for the space group: P4/mbm, No. 127.

Most stable of them? #Q.

#P
Density functional theory data (GGA-PBE) for a relaxed ScGaSb2Te crystal.

Unit cell a=5.499 b=5.499 c=5.590 alpha=90.00 beta=90.00 gamma=90.00
Element x y z (fractional)
Sc  0.000  0.000  0.000
Sb  0.000  0.500  0.000
Sb  0.500  0.000  0.000
Te  0.000  0.000  0.500
Ga  0.500  0.500  0.500

Values from the calculation:
The density of states at the Fermi level comes out at 4.49 states/eV/f.u. As for the space group: P4/mmm, No. 123.

#Q
Density functional theory data (GGA-PBE) for a relaxed ScGaSb2Te crystal.

Unit cell a=5.247 b=5.247 c=5.378 alpha=90.00 beta=90.00 gamma=90.00
Element x y z (fractional)
Sc  0.500  0.500  0.500
Sb  0.000  0.500  0.000
Sb  0.500  0.000  0.000
Te  0.000  0.000  0.500
Ga  0.000  0.000  0.000

Values from the calculation:
The density of states at the Fermi level comes out at 4.83 states/eV/f.u. As for the space group: P4/mmm, No. 123.

Most stable of them? #P.

#P
Density functional theory data (GGA-PBE) for a relaxed Ga2Sb2Se crystal.

Unit cell a=7.981 b=7.981 c=3.664 alpha=90.00 beta=90.00 gamma=90.00
Element x y z (fractional)
Sb  0.143  0.643  0.500
Sb  0.643  0.857  0.500
Sb  0.857  0.357  0.500
Sb  0.357  0.143  0.500
Ga  0.341  0.841  0.000
Ga  0.841  0.659  0.000
Ga  0.659  0.159  0.000
Ga  0.159  0.341  0.000
Se  0.000  0.000  0.000
Se  0.500  0.500  0.000

Values from the calculation:
The density of states at the Fermi level comes out at 3.28 states/eV/f.u. As for the space group: P4/mbm, No. 127.

#Q
Density functional theory data (GGA-PBE) for a relaxed Ga2Sb2Se crystal.

Unit cell a=7.906 b=7.906 c=3.970 alpha=90.00 beta=90.00 gamma=90.00
Element x y z (fractional)
Sb  0.321  0.821  0.000
Sb  0.821  0.679  0.000
Sb  0.679  0.179  0.000
Sb  0.179  0.321  0.000
Ga  0.125  0.625  0.500
Ga  0.625  0.875  0.500
Ga  0.875  0.375  0.500
Ga  0.375  0.125  0.500
Se  0.000  0.000  0.000
Se  0.500  0.500  0.000

Values from the calculation:
The density of states at the Fermi level comes out at 2.14 states/eV/f.u. As for the space group: P4/mbm, No. 127.

Most stable of them? #Q.